A plane-wave DFT calculation with GGA-PBE was carried out for a relaxed structure of CsCd6F12.

Cell lengths 7.065, 7.065, 7.065 Å; angles 106.70, 106.70, 106.70 degrees
Positions (direct):
F1 0.500 0.125 0.875
Cd1 0.250 0.652 0.250
Cd2 0.750 0.750 0.348
Cd3 0.250 0.250 0.652
Cd4 0.652 0.250 0.250
F2 0.562 0.562 0.830
F3 0.875 0.125 0.500
F4 0.438 0.438 0.170
Cd5 0.750 0.348 0.750
F5 0.170 0.438 0.438
F6 0.830 0.562 0.562
Cs1 0.000 0.000 0.000
F7 0.562 0.830 0.562
F8 0.875 0.500 0.125
F9 0.125 0.875 0.500
F10 0.125 0.500 0.875
Cd6 0.348 0.750 0.750
F11 0.500 0.875 0.125
F12 0.438 0.170 0.438

- E_tot (eV/f.u.) = -68.12
- raw formation energy (eV/atom) = -2.07
- calculated volume (Å³ per atom) = 15.58
- DOS(E_F) (states/eV/atom) = 0.100